No. 1
A relaxed DyEr4Ru2 crystal, computed with PBE.

Cell lengths 6.2759, 7.8672, 7.7037 Å; angles 112.56, 90.00, 90.00 degrees
Closest atoms and distances in Å follow each position.
Sites, in units of the cell vectors:
Er  0.2500  0.9798  0.6204  2 Ru 2.70-2.78
Er  0.9989  0.4153  0.7576  4 Ru 2.91-3.03, 2 Er 3.12-3.15
Er  0.7500  0.0202  0.3796  2 Ru 2.70-2.78
Er  0.0011  0.5847  0.2424  4 Ru 2.91-3.03, 2 Er 3.12-3.15
Ru  0.2500  0.2583  0.9769  6 Er 2.72-3.03
Er  0.4989  0.5847  0.2424  4 Ru 2.91-3.03, 2 Er 3.12-3.15
Er  0.7500  0.7506  0.6742  2 Ru 2.72-2.86
Dy  0.2500  0.8360  0.9756  1 Ru 2.82
Ru  0.7500  0.7417  0.0231  6 Er 2.72-3.03
Er  0.5011  0.4153  0.7576  4 Ru 2.91-3.03, 2 Er 3.12-3.15
Er  0.2500  0.2494  0.3258  2 Ru 2.72-2.86
Ru  0.7500  0.3752  0.4145  6 Er 2.70-2.98, 1 Dy 2.82
Ru  0.2500  0.6248  0.5855  6 Er 2.70-2.98, 1 Dy 2.82
Dy  0.7500  0.1640  0.0244  1 Ru 2.82

Computed properties:
- E: -6.200 eV/atom
- Energy of formation from the pure elements: -0.29 eV/atom

=====

No. 2
A relaxed AcZnPtO6 crystal, computed with PBE.

Cell lengths 5.3024, 5.3510, 5.3510 Å; angles 120.00, 90.00, 90.00 degrees
Closest atoms and distances in Å follow each position.
Sites, in units of the cell vectors:
Pt  0.5000  0.0000  0.0000  6 O 1.96
Zn  0.5000  0.6667  0.3333  6 O 2.08
O  0.2912  0.7122  0.0283  1 Pt 1.96, 1 Zn 2.08
Ac  0.0000  0.3333  0.6667  6 O 2.51
O  0.7088  0.3161  0.0283  1 Pt 1.96, 1 Zn 2.08
O  0.2912  0.9717  0.6839  1 Pt 1.96, 1 Zn 2.08
O  0.2912  0.3161  0.2878  1 Pt 1.96, 1 Zn 2.08
O  0.7088  0.7122  0.6839  1 Pt 1.96, 1 Zn 2.08
O  0.7088  0.9717  0.2878  1 Pt 1.96, 1 Zn 2.08

Computed properties:
- E_form (uncorrected): -11.69 eV/f.u.
- E: -5.873 eV/atom

=====

No. 3
A relaxed Ba2GePdI crystal, computed with PBE.

Cell lengths 6.3325, 6.3325, 4.7115 Å; angles 90.00, 90.00, 90.00 degrees
Closest atoms and distances in Å follow each position.
Sites, in units of the cell vectors:
Ba  0.5000  0.0000  0.0000  2 Pd 3.17
Ge  0.0000  0.0000  0.5000  2 Pd 2.36
Ba  0.0000  0.5000  0.0000  2 Pd 3.17
Pd  0.0000  0.0000  0.0000  2 Ge 2.36
I  0.5000  0.5000  0.5000  8 Ba 3.95

Computed properties:
- E_form (uncorrected): -4.18 eV/f.u.
- E: -3.877 eV/atom

=====

No. 4
A relaxed Sr2ScTc crystal, computed with PBE.

Cell lengths 5.0566, 3.5347, 6.8882 Å; angles 68.18, 90.00, 90.00 degrees
Closest atoms and distances in Å follow each position.
Sites, in units of the cell vectors:
Sr  0.0000  0.0581  0.0202  2 Sr 3.11-3.46, 2 Tc 3.19
Sc  0.5000  0.7500  0.7500  2 Tc 3.23, 8 Sr 3.53-3.54, 2 Sc 3.53
Sr  0.0000  0.4419  0.4798  2 Sr 3.11-3.46, 2 Tc 3.19
Tc  0.5000  0.2500  0.2500  4 Sr 3.19, 2 Sc 3.23, 2 Tc 3.53

Computed properties:
- Offset from the most stable computed form: 566 meV per atom
- E: -4.188 eV/atom
- Energy of formation from the pure elements: 0.83 eV/atom

=====

No. 5
A relaxed InSO4F crystal, computed with PBE.

Cell lengths 5.3308, 5.3308, 8.3554 Å; angles 66.95, 66.95, 77.42 degrees
Closest atoms and distances in Å follow each position.
Sites, in units of the cell vectors:
O  0.4873  0.8413  0.7814  1 S 1.48
O  0.5127  0.1587  0.2186  1 S 1.48
S  0.6470  0.6470  0.6846  4 O 1.48-1.50
O  0.8029  0.8029  0.4877  1 S 1.50
O  0.4692  0.4692  0.6849  1 S 1.48
F  0.8816  0.8816  0.9425  2 In 2.12-2.13
In  0.1774  0.1774  0.7792  2 F 2.12-2.13, 4 O 2.14-2.16
In  0.8226  0.8226  0.2208  2 F 2.12-2.13, 4 O 2.14-2.16
O  0.1971  0.1971  0.5123  1 S 1.50
O  0.5308  0.5308  0.3151  1 S 1.48
O  0.8413  0.4873  0.7814  1 S 1.48
S  0.3530  0.3530  0.3154  4 O 1.48-1.50
O  0.1587  0.5127  0.2186  1 S 1.48
F  0.1184  0.1184  0.0575  2 In 2.12-2.13

Computed properties:
- E_form (uncorrected): -11.28 eV/f.u.
- E: -5.693 eV/atom

=====

No. 6
A relaxed Nd3Ag4Ge4 crystal, computed with PBE.

Cell lengths 8.5375, 8.5375, 8.5375 Å; angles 149.77, 130.11, 59.45 degrees
Closest atoms and distances in Å follow each position.
Sites, in units of the cell vectors:
Nd  0.6278  0.1278  0.5000  6 Ag 3.18-3.33, 6 Ge 3.20-3.21
Ge  0.3182  0.5000  0.8182  1 Ge 2.62, 2 Ag 2.65
Ag  0.6364  0.3316  0.3049  4 Ge 2.65-2.78, 1 Ag 2.81
Ge  0.7835  0.7835  0.0000  6 Ag 2.73-2.78
Ge  0.2165  0.2165  0.0000  6 Ag 2.73-2.78
Ag  0.9733  0.6684  0.3049  4 Ge 2.65-2.78, 1 Ag 2.81
Ge  0.6818  0.5000  0.1818  1 Ge 2.62, 2 Ag 2.65
Nd  0.0000  0.0000  0.0000  6 Ge 3.20-3.21
Ag  0.0267  0.3316  0.6951  4 Ge 2.65-2.78, 1 Ag 2.81
Ag  0.3636  0.6684  0.6951  4 Ge 2.65-2.78, 1 Ag 2.81
Nd  0.3722  0.8722  0.5000  6 Ag 3.18-3.33, 6 Ge 3.20-3.21

Computed properties:
- E: -4.564 eV/atom
- Energy of formation from the pure elements: -0.55 eV/atom